# 1
This record from Alexandria describes a geometry-optimized TbTh2Zr structure. The functional is PBE.

a = 11.3501 Å, b = 11.3501 Å, c = 11.3501 Å
α = 17.73°, β = 17.73°, γ = 17.73°
Fractional positions:
Tb: 0.0000 0.0000 0.0000
Th: 0.2468 0.2468 0.2468
Th: 0.7532 0.7532 0.7532
Zr: 0.5000 0.5000 0.5000

## Properties
Its energy above the most stable polymorph in this dataset is 18 meV/atom. As for the density: 10018 kg/m3. Its total energy is -27.59 eV per cell. As for the crystal system: trigonal. The space-group type is R-3m (166).

---

# 2
This record from Alexandria describes a geometry-optimized ErZrMnOs structure. The functional is PBE.

a = 4.7326 Å, b = 4.7326 Å, c = 4.7326 Å
α = 60.00°, β = 60.00°, γ = 60.00°
Fractional positions:
Er: 0.0000 0.0000 0.0000
Zr: 0.5000 0.5000 0.5000
Mn: 0.2500 0.2500 0.2500
Os: 0.7500 0.7500 0.7500

## Properties
As for the density: 11158 kg/m3. Its total energy is -33.97 eV per cell. As for the crystal system: cubic. The space-group type is F-43m (216).

---

# 3
This record from Alexandria describes a geometry-optimized LaMoPCl2 structure. The functional is PBE.

a = 4.8222 Å, b = 4.8222 Å, c = 4.7728 Å
α = 90.00°, β = 90.00°, γ = 90.00°
Fractional positions:
La: 0.0000 0.0000 0.0000
Mo: 0.5000 0.5000 0.5000
P: 0.5000 0.5000 0.0000
Cl: 0.0000 0.5000 0.5000
Cl: 0.5000 0.0000 0.5000

## Properties
Its energy above the most stable polymorph in this dataset is 0 meV/atom. As for the density: 5038 kg/m3. Its total energy is -27.80 eV per cell. As for the crystal system: tetragonal. For the uncorrected formation energy, the calculation gives -587 meV per atom. The space-group type is P4/mmm (123).

---

# 4
This record from Alexandria describes a geometry-optimized FeTeW structure. The functional is PBE.

a = 10.8774 Å, b = 3.3879 Å, c = 3.3879 Å
α = 60.00°, β = 90.00°, γ = 90.00°
Fractional positions:
Fe: 0.1276 0.0000 0.0000
Fe: 0.8724 0.0000 0.0000
Te: 0.3208 0.6688 0.6688
Te: 0.6792 0.6688 0.6688
W: 0.0000 0.3335 0.3335
W: 0.5000 0.3353 0.3353

## Properties
Its energy above the most stable polymorph in this dataset is 46 meV/atom. As for the density: 11281 kg/m3. Its total energy is -45.27 eV per cell. As for the crystal system: orthorhombic. For the uncorrected formation energy, the calculation gives 641 meV per atom. The space-group type is Amm2 (38).

---

# 5
This record from Alexandria describes a geometry-optimized Ac2TbGe2Pd7 structure. The functional is PBE.

a = 4.2480 Å, b = 4.2480 Å, c = 14.0218 Å
α = 95.30°, β = 95.30°, γ = 89.42°
Fractional positions:
Ac: 0.1004 0.1004 0.3507
Ac: 0.8996 0.8996 0.6493
Tb: 0.0000 0.0000 0.0000
Ge: 0.4260 0.4260 0.7590
Ge: 0.5740 0.5740 0.2410
Pd: 0.0454 0.5439 0.1468
Pd: 0.3856 0.3856 0.5763
Pd: 0.4561 0.9546 0.8532
Pd: 0.5000 0.5000 0.0000
Pd: 0.5439 0.0454 0.1468
Pd: 0.6144 0.6144 0.4237
Pd: 0.9546 0.4561 0.8532

## Properties
As for the density: 9950 kg/m3. Its total energy is -68.44 eV per cell. As for the crystal system: monoclinic. The space-group type is C2/m (12).

---

# 6
This record from Alexandria describes a geometry-optimized CrPAu2 structure. The functional is PBE.

a = 3.4541 Å, b = 4.1760 Å, c = 5.0323 Å
α = 90.00°, β = 104.42°, γ = 90.00°
Fractional positions:
Cr: 0.0000 0.0000 0.0000
P: 0.0000 0.0000 0.5000
Au: 0.3503 0.5000 0.7322
Au: 0.6497 0.5000 0.2678

## Properties
As for the density: 11265 kg/m3. Its total energy is -20.74 eV per cell. As for the crystal system: monoclinic. The space-group type is P2/m (10).

---

# 7
This record from Alexandria describes a geometry-optimized IrIO structure. The functional is PBE.

a = 5.7012 Å, b = 4.0296 Å, c = 7.2594 Å
α = 90.00°, β = 103.82°, γ = 90.00°
Fractional positions:
Ir: 0.0000 0.0000 0.0000
Ir: 0.3858 0.0000 0.8885
I: 0.2341 0.5000 0.6439
I: 0.5440 0.5000 0.1331
O: 0.1113 0.0000 0.2422
O: 0.7263 0.0000 0.8203

## Properties
Its energy above the most stable polymorph in this dataset is 24 meV/atom. As for the density: 6873 kg/m3. Its total energy is -31.16 eV per cell. As for the crystal system: monoclinic. For the uncorrected formation energy, the calculation gives -71 meV per atom. The space-group type is Pm (6).

---

# 8
This record from Alexandria describes a geometry-optimized Tm2Sc3Se6 structure. The functional is PBE.

a = 6.7516 Å, b = 6.7516 Å, c = 6.8240 Å
α = 99.56°, β = 99.56°, γ = 119.80°
Fractional positions:
Tm: 0.1654 0.8346 0.0000
Tm: 0.8346 0.1654 0.0000
Sc: 0.0000 0.0000 0.5000
Sc: 0.3334 0.6666 0.5000
Sc: 0.6666 0.3334 0.5000
Se: 0.0874 0.4149 0.7440
Se: 0.2587 0.2587 0.2545
Se: 0.4149 0.0874 0.7440
Se: 0.5851 0.9126 0.2560
Se: 0.7413 0.7413 0.7455
Se: 0.9126 0.5851 0.2560

## Properties
Its energy above the most stable polymorph in this dataset is 0 meV/atom. As for the density: 6170 kg/m3. Its total energy is -68.09 eV per cell. As for the crystal system: monoclinic. For the uncorrected formation energy, the calculation gives -1750 meV per atom. The space-group type is C2/m (12).

---

# 9
This record from Alexandria describes a geometry-optimized CdCu4Sb3O12 structure. The functional is PBE.

a = 6.8034 Å, b = 6.8034 Å, c = 6.8034 Å
α = 106.88°, β = 106.88°, γ = 106.88°
Fractional positions:
Cd: 0.0000 0.0000 0.0000
Cu: 0.0856 0.5000 0.9144
Cu: 0.5000 0.5000 0.5000
Cu: 0.5000 0.9144 0.0856
Cu: 0.9144 0.0856 0.5000
Sb: 0.0000 0.5671 0.4329
Sb: 0.4329 0.0000 0.5671
Sb: 0.5671 0.4329 0.0000
O: 0.0100 0.6569 0.7441
O: 0.0957 0.9043 0.5000
O: 0.2559 0.3431 0.9900
O: 0.3284 0.6716 0.5000
O: 0.3431 0.9900 0.2559
O: 0.5000 0.0957 0.9043
O: 0.5000 0.3284 0.6716
O: 0.6569 0.7441 0.0100
O: 0.6716 0.5000 0.3284
O: 0.7441 0.0100 0.6569
O: 0.9043 0.5000 0.0957
O: 0.9900 0.2559 0.3431

## Properties
As for the density: 5831 kg/m3. Its total energy is -107.67 eV per cell. As for the crystal system: trigonal. For the uncorrected formation energy, the calculation gives -925 meV per atom. The space-group type is R32 (155).

---

# 10
This record from Alexandria describes a geometry-optimized Tm2BeOs structure. The functional is PBE.

a = 10.1657 Å, b = 10.1657 Å, c = 10.1657 Å
α = 18.36°, β = 18.36°, γ = 18.36°
Fractional positions:
Tm: 0.0971 0.0971 0.0971
Tm: 0.9029 0.9029 0.9029
Be: 0.0000 0.0000 0.0000
Os: 0.5000 0.5000 0.5000

## Properties
Its energy above the most stable polymorph in this dataset is 849 meV/atom. As for the density: 9792 kg/m3. Its total energy is -21.09 eV per cell. As for the crystal system: trigonal. The space-group type is R-3m (166).

---

# 11
This record from Alexandria describes a geometry-optimized NdHo12Al3 structure. The functional is PBE.

a = 4.7779 Å, b = 4.7779 Å, c = 19.5422 Å
α = 90.00°, β = 90.00°, γ = 90.00°
Fractional positions:
Nd: 0.0000 0.0000 0.0000
Ho: 0.0000 0.5000 0.1366
Ho: 0.0000 0.5000 0.3790
Ho: 0.0000 0.5000 0.6210
Ho: 0.0000 0.5000 0.8634
Ho: 0.5000 0.0000 0.1366
Ho: 0.5000 0.0000 0.3790
Ho: 0.5000 0.0000 0.6210
Ho: 0.5000 0.0000 0.8634
Ho: 0.5000 0.5000 0.0000
Ho: 0.5000 0.5000 0.2590
Ho: 0.5000 0.5000 0.5000
Ho: 0.5000 0.5000 0.7410
Al: 0.0000 0.0000 0.2590
Al: 0.0000 0.0000 0.5000
Al: 0.0000 0.0000 0.7410

## Properties
As for the density: 8205 kg/m3. Its total energy is -72.91 eV per cell. As for the crystal system: tetragonal. The space-group type is P4/mmm (123).

---

# 12
This record from Alexandria describes a geometry-optimized EuBiO2 structure. The functional is PBE.

a = 3.0836 Å, b = 3.0836 Å, c = 6.8333 Å
α = 90.00°, β = 90.00°, γ = 90.00°
Fractional positions:
Eu: 0.0000 0.0000 0.0000
Bi: 0.0000 0.0000 0.5000
O: 0.5000 0.5000 0.1972
O: 0.5000 0.5000 0.8028

## Properties
Its energy above the most stable polymorph in this dataset is 597 meV/atom. As for the density: 10042 kg/m3. Its total energy is -29.50 eV per cell. As for the crystal system: tetragonal. For the uncorrected formation energy, the calculation gives -1358 meV per atom. The space-group type is P4/mmm (123).